Material: Ba3Ga2FeO8
Method: DFT, GGA+U
State: optimized geometry

a = 5.7802 Å, b = 5.7802 Å, c = 7.5247 Å
α = 90.00°, β = 90.00°, γ = 120.00°
With the nearest neighbours (Å) after each atom.
Space group P-3m1 (No. 164)
Unique sites:
Ba (0.0000, 0.0000, 0.0000) [1 per cell]  12 O 2.99-3.34
Ba (0.3333, 0.6667, 0.6550) [2 per cell]  1 O 2.53
Ga (0.3333, 0.6667, 0.2307) [2 per cell]  4 O 1.80-1.88
Fe (0.0000, 0.0000, 0.5000) [1 per cell]  6 O 2.05
O (0.1620, 0.3241, 0.3338) [6 per cell]  1 Ga 1.88, 1 Fe 2.05
O (0.3333, 0.6667, 0.9918) [2 per cell]  1 Ga 1.80

Computed properties:
total magnetic moment = 4.117 μB per formula unit
uncorrected energy = -6.15 eV/atom